[1]
Compound: TbYB4
Source: OQMD
Functional: PBE-GGA
Structure: optimized geometry

Cell and atoms, written as POSCAR:
```
TbYB4
1.0
3.301 0.000 0.000
-1.650 2.859 0.000
0.000 0.000 7.751
B Tb Y
4 1 1
Cartesian
1.650 0.953 1.930
0.000 1.906 1.930
1.650 0.953 5.822
0.000 1.906 5.822
0.000 0.000 3.876
0.000 0.000 0.000
```

Values from the calculation:
E (eV/atom): -6.8468
Space-group type: P6/mmm, No. 191
Spin magnetization (μB/f.u.): 0.01


[2]
Compound: TbAlSi
Source: OQMD
Functional: PBE-GGA
Structure: optimized geometry

Cell and atoms, written as POSCAR:
```
TbAlSi
1.0
-5.229 -4.280 -1.992
3.043 -0.850 6.296
-2.748 2.577 1.676
Al Si Tb
3 3 3
Cartesian
-3.893 -3.187 -1.483
-0.558 -1.310 1.099
2.266 -0.633 4.688
-2.472 -3.137 0.771
0.286 -1.994 3.533
-1.374 1.289 0.838
-3.416 -0.383 0.060
-0.186 0.957 3.297
-2.706 -1.838 3.461
```

Values from the calculation:
E (eV/atom): -5.1653
Space-group type: P-62m, No. 189
Spin magnetization (μB/f.u.): 0.00


[3]
Compound: CsThSc
Source: OQMD
Functional: PBE-GGA
Structure: optimized geometry

Cell and atoms, written as POSCAR:
```
CsThSc
1.0
0.294 -4.576 -3.430
-3.275 -4.579 1.048
-4.369 -1.253 -3.483
Cs Sc Th
1 1 1
Cartesian
-1.837 -2.602 -1.466
0.000 0.000 0.000
-5.512 -7.806 -4.399
```

Values from the calculation:
ΔE to the lowest computed polymorph (eV/f.u.): 0.000
E (eV/atom): -3.3972
Space-group type: F-43m, No. 216
Spin magnetization (μB/f.u.): 3.36


[4]
Compound: Na2BePt2
Source: OQMD
Functional: PBE-GGA
Structure: optimized geometry

Cell and atoms, written as POSCAR:
```
Na2BePt2
1.0
-5.017 -3.118 0.675
1.002 -0.347 5.850
-2.479 4.135 0.670
Be Na Pt
2 4 4
Cartesian
0.000 0.000 0.000
-2.007 -1.732 3.262
-2.733 0.976 1.545
-5.079 -0.640 2.834
-1.416 1.310 4.360
-3.761 -0.306 5.650
-3.129 -2.094 1.346
-0.429 -0.602 2.125
-3.586 -2.863 4.399
-0.886 -1.370 5.179
```

Values from the calculation:
E (eV/atom): -4.0350
Space-group type: P4/mbm, No. 127
Spin magnetization (μB/f.u.): 0.00


Question: spin magnetization of number 1 (TbYB4)?
Answer: 0.01 μB/f.u.